Entry 1:
Here is an optimized crystal structure of AlRePO from OQMD. Energies are from PBE.

The structure in extended XYZ format:
```
8
Lattice="-2.070 2.036 0.691 -0.514 -2.519 5.880 3.869 3.334 1.767" Properties=species:S:1:pos:R:3 pbc="T T T"
Al -1.171 -1.175 6.397
Al 1.277 3.010 1.403
O -0.096 0.162 5.678
O 2.149 3.351 3.011
P 1.259 0.605 1.987
P 2.917 0.917 6.034
Re 1.447 0.045 4.202
Re 3.463 2.110 4.155
```

Results
Space group: No. 26
Energy relative to the lowest polymorph listed for this composition: 60.0 kJ per mole of atoms


Entry 2:
Here is an optimized crystal structure of AlRePO from OQMD. Energies are from PBE.

The structure in extended XYZ format:
```
8
Lattice="-2.233 1.777 2.486 -2.568 0.576 -2.719 -3.815 -7.587 1.997" Properties=species:S:1:pos:R:3 pbc="T T T"
Al -1.398 0.329 1.390
Al -4.818 -6.739 0.490
O 0.000 0.000 0.000
O -2.401 1.177 -0.117
P -2.405 -1.674 1.917
P -3.811 -4.736 -0.037
Re -1.908 -3.793 0.998
Re -4.308 -2.617 0.882
```

Results
Space group: No. 129
Energy relative to the lowest polymorph listed for this composition: 0.0 kJ per mole of atoms


Entry 3:
Here is an optimized crystal structure of AlRePO from OQMD. Energies are from PBE.

The structure in extended XYZ format:
```
8
Lattice="3.498 0.000 0.000 0.000 3.498 0.000 0.000 0.000 8.216" Properties=species:S:1:pos:R:3 pbc="T T T"
Al 2.623 0.874 4.108
Al 0.874 2.623 4.108
O 2.623 0.874 0.000
O 0.874 2.623 0.000
P 2.623 2.623 2.282
P 0.874 0.874 5.934
Re 0.874 0.874 1.315
Re 2.623 2.623 6.900
```

Results
Space group: No. 129
Energy relative to the lowest polymorph listed for this composition: 123.5 kJ per mole of atoms


Entry 4:
Here is an optimized crystal structure of SmAlPO from OQMD. Energies are from PBE.

The structure in extended XYZ format:
```
8
Lattice="4.031 0.000 0.000 0.000 6.715 0.000 0.000 0.000 5.667" Properties=species:S:1:pos:R:3 pbc="T T T"
Al 2.016 5.962 0.212
Al 2.016 0.752 3.045
O 2.016 5.886 2.094
O 2.016 0.829 4.927
P 0.000 1.789 2.386
P 0.000 4.926 5.220
Sm 0.000 4.618 2.414
Sm 0.000 2.097 5.248
```

Results
Space group: No. 26
Energy relative to the lowest polymorph listed for this composition: 1.3 kJ per mole of atoms


Entry 5:
Here is an optimized crystal structure of SmAlPO from OQMD. Energies are from PBE.

The structure in extended XYZ format:
```
8
Lattice="4.048 0.000 0.000 0.000 4.048 0.000 0.000 0.000 9.567" Properties=species:S:1:pos:R:3 pbc="T T T"
Al 2.024 0.000 0.549
Al 0.000 2.024 9.019
O 0.000 0.000 0.000
O 2.024 2.024 0.000
P 2.024 0.000 2.838
P 0.000 2.024 6.729
Sm 0.000 0.000 4.784
Sm 2.024 2.024 4.784
```

Results
Space group: No. 129
Energy relative to the lowest polymorph listed for this composition: 68.4 kJ per mole of atoms


Entry 6:
Here is an optimized crystal structure of SmAlPO from OQMD. Energies are from PBE.

The structure in extended XYZ format:
```
8
Lattice="4.027 0.000 0.000 0.000 4.027 0.000 0.000 0.000 8.646" Properties=species:S:1:pos:R:3 pbc="T T T"
Al 0.000 0.000 4.323
Al 2.014 2.014 4.323
O 0.000 0.000 0.000
O 2.014 2.014 0.000
P 2.014 0.000 2.918
P 0.000 2.014 5.728
Sm 0.000 2.014 1.119
Sm 2.014 0.000 7.527
```

Results
Space group: No. 129
Energy relative to the lowest polymorph listed for this composition: 0.2 kJ per mole of atoms